1.
! NaBe2Ni2 PBE-GGA optimized geometry; values from VASP
! Energy above the most stable polymorph in this dataset: 0 meV per atom
&SYSTEM
  ibrav = 0, nat = 10, ntyp = 3
/
ATOMIC_SPECIES
Ni 58.69 Ni.upf
Be 9.01 Be.upf
Na 22.99 Na.upf
CELL_PARAMETERS angstrom
-6.740 -1.025 -0.261
1.016 -6.742 0.260
-0.106 0.078 2.437
ATOMIC_POSITIONS crystal
Ni 0.367 0.867 0.000
Ni 0.867 0.633 0.000
Ni 0.633 0.133 0.000
Ni 0.133 0.367 0.000
Be 0.154 0.654 0.500
Be 0.654 0.846 0.500
Be 0.846 0.346 0.500
Be 0.346 0.154 0.500
Na 0.000 0.000 0.000
Na 0.500 0.500 0.000

=====

2.
! InPdAu PBE-GGA optimized geometry; values from VASP
! Energy above the most stable polymorph in this dataset: 0 meV per atom
&SYSTEM
  ibrav = 0, nat = 3, ntyp = 3
/
ATOMIC_SPECIES
Au 196.97 Au.upf
Pd 106.42 Pd.upf
In 114.82 In.upf
CELL_PARAMETERS angstrom
3.489 0.000 0.000
0.000 3.489 0.000
-1.745 -1.745 4.475
ATOMIC_POSITIONS crystal
Au 0.617 0.617 0.234
Pd 0.945 0.945 0.890
In 0.288 0.288 0.577

=====

3.
Computed, not measured: Cd2BiPdRu after structural relaxation at the PBE-GGA level of DFT. Values from VASP.

Cell and atoms, written as Quantum ESPRESSO input:
```
&SYSTEM
  ibrav = 0, nat = 5, ntyp = 4
/
ATOMIC_SPECIES
Ru 101.07 Ru.upf
Bi 208.98 Bi.upf
Pd 106.42 Pd.upf
Cd 112.41 Cd.upf
CELL_PARAMETERS angstrom
-2.377 0.397 -4.437
2.684 -3.671 -1.766
-3.483 -3.302 1.571
ATOMIC_POSITIONS crystal
Ru 0.000 0.500 0.000
Bi 0.500 0.500 0.500
Pd 0.000 0.000 0.000
Cd 0.000 0.000 0.500
Cd 0.500 0.000 0.000
```

=====

Per-record total magnetic moment, μB per cell: 0.0; 0.0; 0.0
Per-record energy, eV for the cell shown: -40.6; -12.1; -16.6